# Ta2TiFe4 GGA-PBE optimized geometry
data_Ta2TiFe4
_chemical_formula_sum 'Ta2 Ti1 Fe4'
_cell_length_a 5.1049
_cell_length_b 5.1049
_cell_length_c 5.1049
_cell_angle_alpha 108.77
_cell_angle_beta 109.82
_cell_angle_gamma 109.82
_space_group_name_H-M_alt 'P 1'
_space_group_IT_number 1
_space_group_name_Hall 'P 1'
loop_
_atom_site_label
_atom_site_type_symbol
_atom_site_fract_x
_atom_site_fract_y
_atom_site_fract_z
Fe1 Fe 0.5000 0.0000 0.0000
Ta1 Ta 0.5000 0.0000 0.5000
Ta2 Ta 0.5000 0.5000 0.0000
Ti1 Ti 0.0000 0.0000 0.0000
Fe2 Fe 0.5000 0.5000 0.5000
Fe3 Fe 0.0000 0.0000 0.5000
Fe4 Fe 0.0000 0.5000 0.0000
# M_tot: 1.20 μB/cell
# N(E_F): 6.12 states/eV/cell
# DFT total energy: -9.16 eV/atom
# symmetry: I4/mmm
# DFT formation energy: 0.1911 eV/atom


# Ta2TiFe2 GGA-PBE optimized geometry
data_Ta2TiFe2
_chemical_formula_sum 'Ta2 Ti1 Fe2'
_cell_length_a 2.9044
_cell_length_b 2.8809
_cell_length_c 8.9958
_cell_angle_alpha 80.79
_cell_angle_beta 90.00
_cell_angle_gamma 90.00
_space_group_name_H-M_alt 'P 1'
_space_group_IT_number 1
_space_group_name_Hall 'P 1'
loop_
_atom_site_label
_atom_site_type_symbol
_atom_site_fract_x
_atom_site_fract_y
_atom_site_fract_z
Fe1 Fe 0.5000 0.5830 0.8340
Ta1 Ta 0.0000 0.1775 0.6451
Fe2 Fe 0.5000 0.4170 0.1660
Ta2 Ta 0.0000 0.8225 0.3549
Ti1 Ti 0.0000 0.0000 0.0000
# M_tot: 0.00 μB/cell
# N(E_F): 5.01 states/eV/cell
# DFT total energy: -9.73 eV/atom
# symmetry: Cmmm
# DFT formation energy: -0.0261 eV/atom


# TaTi2Fe GGA-PBE optimized geometry
data_TaTi2Fe
_chemical_formula_sum 'Ta2 Ti4 Fe2'
_cell_length_a 6.9909
_cell_length_b 6.9909
_cell_length_c 5.6056
_cell_angle_alpha 51.42
_cell_angle_beta 51.42
_cell_angle_gamma 90.00
_space_group_name_H-M_alt 'P 1'
_space_group_IT_number 1
_space_group_name_Hall 'P 1'
loop_
_atom_site_label
_atom_site_type_symbol
_atom_site_fract_x
_atom_site_fract_y
_atom_site_fract_z
Ti1 Ti 0.3750 0.4245 0.7500
Fe1 Fe 0.2500 0.7500 0.5000
Ti2 Ti 0.5755 0.1250 0.2500
Fe2 Fe 0.5000 0.5000 0.0000
Ta1 Ta 0.7500 0.2500 0.5000
Ta2 Ta 0.0000 0.0000 0.0000
Ti3 Ti 0.8750 0.8255 0.7500
Ti4 Ti 0.1745 0.6250 0.2500
# M_tot: 0.00 μB/cell
# N(E_F): 9.19 states/eV/cell
# DFT total energy: -8.78 eV/atom
# symmetry: I-42d
# DFT formation energy: 0.2489 eV/atom